The following is a DFT calculation (GGA-PBE) of a relaxed AsC3 crystal.

- magnetic moment (μB per atom) = 0.0002
- raw total energy (eV per atom) = -5.8165
- V (Å³/cell) = 115.47
- ΔH_f (0 K) (kJ/mol of formula units) = 874
- space group = No. 194
- relative energy among the computed polymorphs (meV per atom) = 1502

Structure (POSCAR):
```
AsC3
1.0
4.650 0.000 0.000
-2.325 4.027 0.000
0.000 0.000 6.167
As C
2 6
Cartesian
0.000 2.685 1.542 As
2.325 1.342 4.625 As
0.000 0.830 4.625 C
-1.606 3.612 4.625 C
0.719 0.415 1.542 C
1.606 3.612 4.625 C
3.931 0.415 1.542 C
2.325 3.197 1.542 C
```